Entry from Alexandria: a geometry-optimized BeAgP structure (PBE).

Lattice parameters (Å, degrees): 5.3899 3.7061 6.3426 90.00 125.74 90.00
Space group Pc (No. 7)
One atom of each set of equivalent atoms:
Be (0.0000, 0.2232, 0.0000) [2 per cell]
Ag (0.4994, 0.0008, 0.4877) [2 per cell]
P (0.0002, 0.2793, 0.6677) [2 per cell]

Calculated values
DOS at the Fermi energy (states/eV/atom): 0.0012
Raw total energy (eV/cell): -24.37